1.
The following is a meta-GGA SCAN calculation of a PBEsol-optimized structure of Sc2PPdF, from Alexandria via LeMat-Bulk.

Results
For the raw total energy, the calculation gives -16.049 eV per atom. Its formation energy without anion corrections is -97.61 kJ per mole of atoms.

a b c (Å): 4.189 4.189 4.467
angles (deg): 90.00 90.00 90.00
Space group P4/mmm (No. 123)
One atom of each set of equivalent atoms:
Sc (0.000, 0.500, 0.000) x2
P (0.000, 0.000, 0.500) x1
Pd (0.500, 0.500, 0.500) x1
F (0.500, 0.500, 0.000) x1

=====

2.
The following is a meta-GGA SCAN calculation of a PBEsol-optimized structure of Mg2ScTc, from Alexandria via LeMat-Bulk.

Results
For the raw total energy, the calculation gives -14.809 eV per atom. For the distance to the lowest polymorph of the same formula, the calculation gives 0 meV/atom. For the energy relative to the elements, the calculation gives 0.00 eV/atom.

a b c (Å): 4.007 4.007 8.881
angles (deg): 90.00 90.00 90.00
Space group I4/mmm (No. 139)
One atom of each set of equivalent atoms:
Mg (0.000, 0.500, 0.250) x4
Sc (0.000, 0.000, 0.000) x2
Tc (0.000, 0.000, 0.500) x2

=====

3.
The following is a meta-GGA SCAN calculation of a PBEsol-optimized structure of Ga2Sb2Au, from Alexandria via LeMat-Bulk.

Results
For the raw total energy, the calculation gives -35.091 eV per atom. Its formation energy without anion corrections is 17.67 kJ per mole of atoms.

a b c (Å): 3.705 3.705 15.729
angles (deg): 90.00 90.00 90.00
Space group I4/mmm (No. 139)
One atom of each set of equivalent atoms:
Ga (0.000, 0.500, 0.250) x4
Sb (0.000, 0.000, 0.097) x4
Au (0.000, 0.000, 0.500) x2

=====

4.
The following is a meta-GGA SCAN calculation of a PBEsol-optimized structure of SrTlCd2, from Alexandria via LeMat-Bulk.

Results
For the raw total energy, the calculation gives -39.114 eV per atom. For the energy relative to the elements, the calculation gives -0.25 eV/atom.

a b c (Å): 4.616 4.791 4.861
angles (deg): 90.00 90.00 90.00
Space group Pmmm (No. 47)
One atom of each set of equivalent atoms:
Sr (0.000, 0.000, 0.000) x1
Tl (0.500, 0.500, 0.000) x1
Cd (0.000, 0.500, 0.500) x1
Cd (0.500, 0.000, 0.500) x1

=====

5.
The following is a meta-GGA SCAN calculation of a PBEsol-optimized structure of CsZn4B3O9, from Alexandria via LeMat-Bulk.

Results
For the raw total energy, the calculation gives -12.161 eV per atom. Its formation energy without anion corrections is -207.17 kJ per mole of atoms.

a b c (Å): 6.892 5.021 12.898
angles (deg): 90.00 92.80 90.00
Space group P2/c (No. 13)
One atom of each set of equivalent atoms:
Cs (0.000, 0.244, 0.250) x2
Zn (0.212, 0.335, 0.560) x4
Zn (0.485, 0.145, 0.126) x4
B (0.190, 0.149, 0.957) x4
B (0.500, 0.350, 0.750) x2
O (0.039, 0.240, 0.897) x4
O (0.270, 0.106, 0.441) x4
O (0.275, 0.296, 0.039) x4
O (0.407, 0.213, 0.669) x4
O (0.500, 0.372, 0.250) x2

=====

6.
The following is a meta-GGA SCAN calculation of a PBEsol-optimized structure of Sc2Co, from Alexandria via LeMat-Bulk.

Results
For the raw total energy, the calculation gives -15.445 eV per atom. For the energy relative to the elements, the calculation gives -0.19 eV/atom.

a b c (Å): 6.203 6.203 5.548
angles (deg): 90.00 90.00 90.00
Space group I4/mcm (No. 140)
One atom of each set of equivalent atoms:
Sc (0.178, 0.322, 0.000) x8
Co (0.000, 0.000, 0.250) x4